# 1
Material: NaSnAs
Method: DFT, PBE
State: relaxed

a = 6.1364 Å, b = 6.1364 Å, c = 6.1364 Å
α = 144.72°, β = 144.72°, γ = 50.75°
Positions (direct):
1 Na 0.0000 0.0000 0.0000
2 Sn 0.7055 0.7055 0.0000
3 As 0.3136 0.3136 0.0000

---

# 2
Material: Na2SnAs
Method: DFT, PBE
State: relaxed

Summary:
The value obtained for the distance to the lowest polymorph of the same formula is 0.38 eV per formula unit.

a = 4.4789 Å, b = 4.4789 Å, c = 4.6836 Å
α = 90.00°, β = 90.00°, γ = 90.00°
Positions (direct):
1 Na 0.0000 0.5000 0.0000
2 Na 0.5000 0.0000 0.0000
3 Sn 0.0000 0.0000 0.5000
4 As 0.5000 0.5000 0.5000

---

# 3
Material: Na3SnAs3
Method: DFT, PBE
State: relaxed

a = 7.3424 Å, b = 7.3424 Å, c = 7.8707 Å
α = 93.18°, β = 93.18°, γ = 99.04°
Positions (direct):
1 Na 0.1833 0.8167 0.0000
2 Na 0.2725 0.7275 0.5000
3 Na 0.3543 0.3543 0.1246
4 Na 0.6457 0.6457 0.8754
5 Na 0.7275 0.2725 0.5000
6 Na 0.8167 0.1833 0.0000
7 Sn 0.1655 0.1655 0.6129
8 Sn 0.8345 0.8345 0.3871
9 As 0.0898 0.0898 0.2821
10 As 0.2389 0.4834 0.7849
11 As 0.4834 0.2389 0.7849
12 As 0.5166 0.7611 0.2151
13 As 0.7611 0.5166 0.2151
14 As 0.9102 0.9102 0.7179

---

# 4
Material: NaSnAs
Method: DFT, PBE
State: relaxed

a = 4.0486 Å, b = 4.0486 Å, c = 5.9753 Å
α = 90.00°, β = 90.00°, γ = 120.00°
Positions (direct):
1 Na 0.0000 0.0000 0.0000
2 Sn 0.3333 0.6667 0.5624
3 As 0.6667 0.3333 0.3281

---

# 5
Material: NaSnAs2
Method: DFT, PBE
State: relaxed

a = 6.4776 Å, b = 6.4776 Å, c = 6.4776 Å
α = 107.91°, β = 107.91°, γ = 112.64°
Positions (direct):
1 Na 0.0000 0.0000 0.0000
2 Na 0.7500 0.2500 0.5000
3 Sn 0.2500 0.7500 0.5000
4 Sn 0.5000 0.5000 0.0000
5 As 0.1627 0.1250 0.5377
6 As 0.3750 0.8373 0.9623
7 As 0.5873 0.6250 0.4623
8 As 0.8750 0.4127 0.0377

---

# 6
Material: NaSnAs
Method: DFT, PBE
State: relaxed

a = 5.4678 Å, b = 4.3074 Å, c = 7.3004 Å
α = 90.00°, β = 111.30°, γ = 90.00°
Positions (direct):
1 Na 0.1993 0.2500 0.4329
2 Na 0.8007 0.7500 0.5671
3 Sn 0.2655 0.7500 0.0786
4 Sn 0.7345 0.2500 0.9214
5 As 0.3862 0.7500 0.7448
6 As 0.6138 0.2500 0.2552

---

# 7
Material: NaSn2As
Method: DFT, PBE
State: relaxed

a = 8.8410 Å, b = 8.8410 Å, c = 8.8410 Å
α = 25.24°, β = 25.24°, γ = 25.24°
Positions (direct):
1 Na 0.0000 0.0000 0.0000
2 Sn 0.5690 0.5690 0.5690
3 Sn 0.7643 0.7643 0.7643
4 As 0.1662 0.1662 0.1662

---

# 8
Material: NaSn2As
Method: DFT, PBE
State: relaxed

a = 9.9630 Å, b = 9.9630 Å, c = 9.9630 Å
α = 22.26°, β = 22.26°, γ = 22.26°
Positions (direct):
1 Na 0.0000 0.0000 0.0000
2 Sn 0.1061 0.1061 0.1061
3 Sn 0.8939 0.8939 0.8939
4 As 0.5000 0.5000 0.5000

---

Record-wise ΔH_f (0 K) values, in eV/atom: -0.17; -0.23; -0.21; -0.32; -0.05; -0.29; -0.06; 0.05